Below is an optimized crystal structure of CrAg2Se, with properties calculated at the PBE-GGA level.

```
CrAg2Se
1.0
-7.393 5.022 -2.306
-8.148 2.402 -3.611
-8.749 2.861 -0.684
Ag Cr Se
2 1 1
direct
0.995 0.995 0.995 Ag
0.242 0.242 0.242 Ag
0.494 0.494 0.494 Cr
0.769 0.769 0.769 Se
```

Properties
Crystal system: trigonal
Space group: R3m
Raw formation energy (eV per atom): 0.159

---

Below is an optimized crystal structure of CrAg2Se, with properties calculated at the PBE-GGA level.

```
CrAg2Se
1.0
5.657 0.000 -0.172
4.476 3.459 -0.172
0.366 0.125 3.939
Ag Cr Se
2 1 1
direct
0.976 0.976 0.010 Ag
0.524 0.524 0.490 Ag
0.250 0.250 0.250 Cr
0.750 0.750 0.750 Se
```

Properties
Crystal system: monoclinic
Space group: C2/m
Raw formation energy (eV per atom): 0.169

---

Below is an optimized crystal structure of CrAg2Se, with properties calculated at the PBE-GGA level.

```
CrAg2Se
1.0
0.161 1.394 5.833
3.186 -2.972 4.125
0.012 3.001 -5.195
Ag Cr Se
2 1 1
direct
0.030 0.030 0.000 Ag
0.697 0.197 0.500 Ag
0.470 0.470 0.000 Cr
0.303 0.803 0.500 Se
```

Properties
Crystal system: orthorhombic
Space group: Imm2
Raw formation energy (eV per atom): 0.221

---

Below is an optimized crystal structure of SrCrAg2Se4, with properties calculated at the PBE-GGA level.

```
SrCrAg2Se4
1.0
-4.288 0.112 5.389
-2.949 -5.302 2.166
2.089 -0.486 6.074
Sr Cr Ag Se
1 1 2 4
direct
0.000 0.000 0.000 Sr
0.000 0.500 0.500 Cr
0.500 0.686 0.314 Ag
0.500 0.314 0.686 Ag
0.618 0.529 0.862 Se
0.382 0.138 0.471 Se
0.009 0.471 0.138 Se
0.991 0.862 0.529 Se
```

Properties
Crystal system: orthorhombic
Space group: I222
Raw formation energy (eV per atom): -0.623

---

Below is an optimized crystal structure of Tl3Cr2AgSe6, with properties calculated at the PBE-GGA level.

```
Tl3Cr2AgSe6
1.0
6.793 0.008 0.017
-3.388 5.888 0.017
-1.115 -1.931 7.201
Tl Cr Ag Se
3 2 1 6
direct
0.159 0.841 0.500 Tl
0.841 0.159 0.500 Tl
0.500 0.500 0.500 Tl
0.331 0.669 0.000 Cr
0.669 0.331 0.000 Cr
0.000 0.000 0.000 Ag
0.936 0.574 0.809 Se
0.702 0.702 0.179 Se
0.064 0.426 0.191 Se
0.574 0.936 0.809 Se
0.298 0.298 0.821 Se
0.426 0.064 0.191 Se
```

Properties
Crystal system: monoclinic
Space group: C2/m
Raw formation energy (eV per atom): -0.355

---

Below is an optimized crystal structure of TlCrAgSe2, with properties calculated at the PBE-GGA level.

```
TlCrAgSe2
1.0
5.760 0.000 0.000
0.000 6.161 0.000
0.000 -3.081 7.230
Tl Cr Ag Se
2 2 2 4
direct
0.217 0.750 0.500 Tl
0.783 0.250 0.500 Tl
0.500 0.750 0.000 Cr
0.500 0.250 0.000 Cr
0.000 0.000 0.000 Ag
0.000 0.500 0.000 Ag
0.680 0.881 0.762 Se
0.680 0.619 0.238 Se
0.320 0.381 0.762 Se
0.320 0.119 0.238 Se
```

Properties
Crystal system: orthorhombic
Space group: Cmme
Raw formation energy (eV per atom): -0.214

---

Below is an optimized crystal structure of Tl3CrAg2Se6, with properties calculated at the PBE-GGA level.

```
Tl3CrAg2Se6
1.0
-0.820 0.098 7.016
5.489 -3.395 -2.872
2.147 6.674 -0.988
Tl Cr Ag Se
3 1 2 6
direct
0.161 0.839 0.500 Tl
0.839 0.161 0.500 Tl
0.500 0.500 0.500 Tl
0.000 0.000 0.000 Cr
0.332 0.668 0.000 Ag
0.668 0.332 0.000 Ag
0.934 0.624 0.796 Se
0.756 0.756 0.199 Se
0.066 0.376 0.204 Se
0.624 0.934 0.796 Se
0.244 0.244 0.801 Se
0.376 0.066 0.204 Se
```

Properties
Crystal system: monoclinic
Space group: C2/m
Raw formation energy (eV per atom): -0.238

---

Below is an optimized crystal structure of Tl2Cr2AgSe6, with properties calculated at the PBE-GGA level.

```
Tl2Cr2AgSe6
1.0
6.685 -0.085 0.064
-3.378 5.769 0.064
-1.167 -2.007 7.180
Tl Cr Ag Se
2 2 1 6
direct
0.844 0.156 0.000 Tl
0.156 0.844 0.000 Tl
0.326 0.674 0.500 Cr
0.674 0.326 0.500 Cr
0.000 0.000 0.500 Ag
0.703 0.703 0.677 Se
0.062 0.430 0.696 Se
0.297 0.297 0.323 Se
0.430 0.062 0.696 Se
0.938 0.570 0.304 Se
0.570 0.938 0.304 Se
```

Properties
Crystal system: monoclinic
Space group: C2/m
Raw formation energy (eV per atom): -0.328

---

Below is an optimized crystal structure of UCr2Ag3Se6, with properties calculated at the PBE-GGA level.

```
UCr2Ag3Se6
1.0
6.682 -0.019 0.195
-3.356 5.778 0.195
-0.871 -1.508 7.011
U Cr Ag Se
1 2 3 6
direct
0.000 0.000 0.000 U
0.337 0.663 0.000 Cr
0.663 0.337 0.000 Cr
0.240 0.760 0.500 Ag
0.760 0.240 0.500 Ag
0.500 0.500 0.500 Ag
0.963 0.603 0.789 Se
0.684 0.684 0.212 Se
0.037 0.397 0.211 Se
0.603 0.963 0.789 Se
0.316 0.316 0.788 Se
0.397 0.037 0.211 Se
```

Properties
Crystal system: monoclinic
Space group: C2/m
Raw formation energy (eV per atom): -0.446

---

Below is an optimized crystal structure of U3CrAg3Se8, with properties calculated at the PBE-GGA level.

```
U3CrAg3Se8
1.0
8.122 0.000 0.000
-4.061 7.033 -0.029
0.000 -4.669 6.626
U Cr Ag Se
3 1 3 8
direct
0.500 0.000 0.500 U
0.500 0.500 0.500 U
0.000 0.500 0.500 U
0.000 0.000 0.500 Cr
0.000 0.000 0.000 Ag
0.000 0.500 0.000 Ag
0.500 0.500 0.000 Ag
0.250 0.499 0.249 Se
0.750 0.501 0.751 Se
0.765 0.531 0.267 Se
0.235 0.469 0.733 Se
0.766 0.001 0.267 Se
0.234 0.999 0.733 Se
0.236 0.001 0.267 Se
0.764 0.999 0.733 Se
```

Properties
Crystal system: trigonal
Space group: R-3m
Raw formation energy (eV per atom): -0.662

---

Below is an optimized crystal structure of VCrAg2Se, with properties calculated at the PBE-GGA level.

```
VCrAg2Se
1.0
-1.575 -0.103 -4.713
2.812 -3.443 -0.865
-3.564 -3.227 1.261
Cr Se Ag V
1 1 2 1
direct
0.000 0.000 0.000 Cr
0.000 0.500 0.000 Se
0.000 0.000 0.500 Ag
0.500 0.000 0.000 Ag
0.500 0.500 0.500 V
```

Properties
Crystal system: tetragonal
Space group: P4/mmm
Raw formation energy (eV per atom): 1.092

---

Below is an optimized crystal structure of Zr2CrAg2Se6, with properties calculated at the PBE-GGA level.

```
Zr2CrAg2Se6
1.0
-0.381 1.126 -6.381
-5.394 -0.530 3.571
0.817 7.260 1.620
Zr Cr Ag Se
2 1 2 6
direct
0.337 0.663 0.500 Zr
0.663 0.337 0.500 Zr
0.000 0.000 0.500 Cr
0.870 0.130 0.000 Ag
0.130 0.870 0.000 Ag
0.712 0.712 0.713 Se
0.022 0.341 0.708 Se
0.288 0.288 0.287 Se
0.341 0.022 0.708 Se
0.978 0.659 0.292 Se
0.659 0.978 0.292 Se
```

Properties
Crystal system: monoclinic
Space group: C2/m
Raw formation energy (eV per atom): -0.760